Computed, not measured: a relaxed structure of Th5FePb at the GGA-PBE level of DFT.

Output
* D(E_F): 1.300 states/eV/atom
* ΔE_f: 0.000 eV/atom
* DFT total energy: -0.25865 hartree per atom

```
data_Th5FePb
_chemical_formula_sum 'Th5 Fe1 Pb1'
_cell_length_a 4.824
_cell_length_b 4.824
_cell_length_c 8.594
_cell_angle_alpha 90.00
_cell_angle_beta 90.00
_cell_angle_gamma 90.00
_symmetry_space_group_name_H-M 'P 4/m m m'
_symmetry_Int_Tables_number 123
_symmetry_space_group_name_Hall '-P 4 2'
loop_
_atom_site_label
_atom_site_fract_x
_atom_site_fract_y
_atom_site_fract_z
_atom_site_occupancy
Th1 0.000 0.000 0.000 1
Th2 0.000 0.500 0.302 1
Fe1 0.000 0.000 0.500 1
Pb1 0.500 0.500 0.000 1
```

***

Computed, not measured: a relaxed structure of Ti4VRu3 at the GGA-PBE level of DFT.

Output
* D(E_F): 0.913 states/eV/atom
* ΔE_f: -0.560 eV/atom
* DFT total energy: -0.33538 hartree per atom

```
data_Ti4VRu3
_chemical_formula_sum 'Ti4 V1 Ru3'
_cell_length_a 3.068
_cell_length_b 4.372
_cell_length_c 8.789
_cell_angle_alpha 90.00
_cell_angle_beta 90.00
_cell_angle_gamma 90.00
_symmetry_space_group_name_H-M 'P m m m'
_symmetry_Int_Tables_number 47
_symmetry_space_group_name_Hall '-P 2 2'
loop_
_atom_site_label
_atom_site_fract_x
_atom_site_fract_y
_atom_site_fract_z
_atom_site_occupancy
Ti1 0.000 0.000 0.000 1
Ti2 0.000 0.000 0.500 1
Ti3 0.000 0.500 0.247 1
V1 0.500 0.500 0.500 1
Ru1 0.500 0.000 0.250 1
Ru2 0.500 0.500 0.000 1
```

***

Computed, not measured: a relaxed structure of BaSr5 at the GGA-PBE level of DFT.

Output
* D(E_F): 1.194 states/eV/atom
* ΔE_f: 0.005 eV/atom
* DFT total energy: -0.06311 hartree per atom
* excess energy over the best structure of this formula in the dataset: 3 meV/atom

```
data_BaSr5
_chemical_formula_sum 'Ba1 Sr5'
_cell_length_a 7.4077
_cell_length_b 7.4077
_cell_length_c 7.0647
_cell_angle_alpha 90.00
_cell_angle_beta 90.00
_cell_angle_gamma 120.00
_symmetry_space_group_name_H-M 'P -6 2 m'
_symmetry_Int_Tables_number 189
_symmetry_space_group_name_Hall 'P -6 -2'
loop_
_atom_site_label
_atom_site_fract_x
_atom_site_fract_y
_atom_site_fract_z
_atom_site_occupancy
Ba1 0.0000 0.0000 0.0000 1
Sr1 0.0000 0.6639 0.5000 1
Sr2 0.3333 0.6667 0.0000 1
```

***

Computed, not measured: a relaxed structure of ZrAgSb2I at the GGA-PBE level of DFT.

Output
* D(E_F): 1.127 states/eV/atom
* energy relative to the elements, uncorrected: 314 meV per atom
* DFT total energy: -0.14423 hartree per atom
* excess energy over the best structure of this formula in the dataset: 0 meV/atom

```
data_ZrAgSb2I
_chemical_formula_sum 'Zr1 Ag1 Sb2 I1'
_cell_length_a 5.600
_cell_length_b 5.600
_cell_length_c 5.720
_cell_angle_alpha 90.00
_cell_angle_beta 90.00
_cell_angle_gamma 90.00
_symmetry_space_group_name_H-M 'P 4/m m m'
_symmetry_Int_Tables_number 123
_symmetry_space_group_name_Hall '-P 4 2'
loop_
_atom_site_label
_atom_site_fract_x
_atom_site_fract_y
_atom_site_fract_z
_atom_site_occupancy
Zr1 0.000 0.000 0.000 1
Ag1 0.500 0.500 0.500 1
Sb1 0.000 0.500 0.000 1
I1 0.000 0.000 0.500 1
```

***

Computed, not measured: a relaxed structure of TaFeRe2 at the GGA-PBE level of DFT.

Output
* D(E_F): 1.087 states/eV/atom
* ΔE_f: 0.662 eV/atom
* DFT total energy: -0.39105 hartree per atom

```
data_TaFeRe2
_chemical_formula_sum 'Ta4 Fe4 Re8'
_cell_length_a 7.103
_cell_length_b 7.103
_cell_length_c 5.030
_cell_angle_alpha 90.00
_cell_angle_beta 90.00
_cell_angle_gamma 90.00
_symmetry_space_group_name_H-M 'I -4 2 d'
_symmetry_Int_Tables_number 122
_symmetry_space_group_name_Hall 'I -4 2bw'
loop_
_atom_site_label
_atom_site_fract_x
_atom_site_fract_y
_atom_site_fract_z
_atom_site_occupancy
Ta1 0.000 0.000 0.000 1
Fe1 0.000 0.000 0.500 1
Re1 0.208 0.250 0.625 1
```

***

Computed, not measured: a relaxed structure of SbSCl3 at the GGA-PBE level of DFT.

Output
* D(E_F): 1.160 states/eV/atom
* energy relative to the elements, uncorrected: 6 meV per atom
* DFT total energy: -0.10112 hartree per atom
* excess energy over the best structure of this formula in the dataset: 420 meV/atom

```
data_SbSCl3
_chemical_formula_sum 'Sb1 S1 Cl3'
_cell_length_a 5.298
_cell_length_b 5.298
_cell_length_c 5.298
_cell_angle_alpha 90.00
_cell_angle_beta 90.00
_cell_angle_gamma 90.00
_symmetry_space_group_name_H-M 'P m -3 m'
_symmetry_Int_Tables_number 221
_symmetry_space_group_name_Hall '-P 4 2 3'
loop_
_atom_site_label
_atom_site_fract_x
_atom_site_fract_y
_atom_site_fract_z
_atom_site_occupancy
Sb1 0.000 0.000 0.000 1
S1 0.500 0.500 0.500 1
Cl1 0.000 0.000 0.500 1
```

***

Computed, not measured: a relaxed structure of PuScPt2 at the GGA-PBE level of DFT.

Output
* D(E_F): 3.418 states/eV/atom
* ΔE_f: -0.411 eV/atom
* DFT total energy: -0.31595 hartree per atom

```
data_PuScPt2
_chemical_formula_sum 'Pu2 Sc2 Pt4'
_cell_length_a 4.802
_cell_length_b 4.802
_cell_length_c 6.718
_cell_angle_alpha 90.00
_cell_angle_beta 90.00
_cell_angle_gamma 90.00
_symmetry_space_group_name_H-M 'I 4/m m m'
_symmetry_Int_Tables_number 139
_symmetry_space_group_name_Hall '-I 4 2'
loop_
_atom_site_label
_atom_site_fract_x
_atom_site_fract_y
_atom_site_fract_z
_atom_site_occupancy
Pu1 0.000 0.000 0.000 1
Sc1 0.000 0.000 0.500 1
Pt1 0.000 0.500 0.250 1
```

***

Computed, not measured: a relaxed structure of ScZn2Pd8 at the GGA-PBE level of DFT.

Output
* D(E_F): 0.358 states/eV/atom
* ΔE_f: -0.519 eV/atom
* DFT total energy: -0.18754 hartree per atom

```
data_ScZn2Pd8
_chemical_formula_sum 'Sc2 Zn4 Pd16'
_cell_length_a 13.937
_cell_length_b 4.069
_cell_length_c 6.264
_cell_angle_alpha 90.00
_cell_angle_beta 107.38
_cell_angle_gamma 90.00
_symmetry_space_group_name_H-M 'C 1 2/m 1'
_symmetry_Int_Tables_number 12
_symmetry_space_group_name_Hall '-C 2y'
loop_
_atom_site_label
_atom_site_fract_x
_atom_site_fract_y
_atom_site_fract_z
_atom_site_occupancy
Sc1 0.000 0.000 0.000 1
Zn1 0.224 0.500 0.649 1
Pd1 0.044 0.500 0.727 1
Pd2 0.099 0.000 0.465 1
Pd3 0.144 0.500 0.201 1
Pd4 0.181 0.000 0.923 1
```

***

Computed, not measured: a relaxed structure of Tb3MgCo at the GGA-PBE level of DFT.

Output
* D(E_F): 1.058 states/eV/atom
* ΔE_f: -0.053 eV/atom
* DFT total energy: -0.16799 hartree per atom
* excess energy over the best structure of this formula in the dataset: 46 meV/atom

```
data_Tb3MgCo
_chemical_formula_sum 'Tb12 Mg4 Co4'
_cell_length_a 18.758
_cell_length_b 3.591
_cell_length_c 7.944
_cell_angle_alpha 90.00
_cell_angle_beta 91.33
_cell_angle_gamma 90.00
_symmetry_space_group_name_H-M 'C 1 2/m 1'
_symmetry_Int_Tables_number 12
_symmetry_space_group_name_Hall '-C 2y'
loop_
_atom_site_label
_atom_site_fract_x
_atom_site_fract_y
_atom_site_fract_z
_atom_site_occupancy
Tb1 0.039 0.000 0.192 1
Tb2 0.094 0.500 0.576 1
Tb3 0.174 0.000 0.908 1
Mg1 0.217 0.000 0.350 1
Co1 0.063 0.500 0.907 1
```

***

Computed, not measured: a relaxed structure of LaHgNF2 at the GGA-PBE level of DFT.

Output
* D(E_F): 0.410 states/eV/atom
* energy relative to the elements, uncorrected: -1039 meV per atom
* DFT total energy: -0.16532 hartree per atom
* excess energy over the best structure of this formula in the dataset: 607 meV/atom

```
data_LaHgNF2
_chemical_formula_sum 'La1 Hg1 N1 F2'
_cell_length_a 4.511
_cell_length_b 4.511
_cell_length_c 4.309
_cell_angle_alpha 90.00
_cell_angle_beta 90.00
_cell_angle_gamma 90.00
_symmetry_space_group_name_H-M 'P 4/m m m'
_symmetry_Int_Tables_number 123
_symmetry_space_group_name_Hall '-P 4 2'
loop_
_atom_site_label
_atom_site_fract_x
_atom_site_fract_y
_atom_site_fract_z
_atom_site_occupancy
La1 0.000 0.000 0.000 1
Hg1 0.500 0.500 0.500 1
N1 0.500 0.500 0.000 1
F1 0.000 0.500 0.500 1
```

***

Computed, not measured: a relaxed structure of BaRuW3 at the GGA-PBE level of DFT.

Output
* D(E_F): 1.847 states/eV/atom
* ΔE_f: 1.725 eV/atom
* DFT total energy: -0.30452 hartree per atom
* excess energy over the best structure of this formula in the dataset: 0 meV/atom

```
data_BaRuW3
_chemical_formula_sum 'Ba1 Ru1 W3'
_cell_length_a 4.892
_cell_length_b 4.892
_cell_length_c 4.892
_cell_angle_alpha 90.00
_cell_angle_beta 90.00
_cell_angle_gamma 90.00
_symmetry_space_group_name_H-M 'P m -3 m'
_symmetry_Int_Tables_number 221
_symmetry_space_group_name_Hall '-P 4 2 3'
loop_
_atom_site_label
_atom_site_fract_x
_atom_site_fract_y
_atom_site_fract_z
_atom_site_occupancy
Ba1 0.000 0.000 0.000 1
Ru1 0.500 0.500 0.500 1
W1 0.000 0.500 0.500 1
```

***

Computed, not measured: a relaxed structure of NaSrSeN2 at the GGA-PBE level of DFT.

Output
* D(E_F): 0.615 states/eV/atom
* energy relative to the elements, uncorrected: 891 meV per atom
* DFT total energy: -0.13731 hartree per atom
* excess energy over the best structure of this formula in the dataset: 51 meV/atom

```
data_NaSrSeN2
_chemical_formula_sum 'Na1 Sr1 Se1 N2'
_cell_length_a 4.973
_cell_length_b 4.973
_cell_length_c 6.124
_cell_angle_alpha 90.00
_cell_angle_beta 90.00
_cell_angle_gamma 90.00
_symmetry_space_group_name_H-M 'P 4/m m m'
_symmetry_Int_Tables_number 123
_symmetry_space_group_name_Hall '-P 4 2'
loop_
_atom_site_label
_atom_site_fract_x
_atom_site_fract_y
_atom_site_fract_z
_atom_site_occupancy
Na1 0.000 0.000 0.000 1
Sr1 0.500 0.500 0.500 1
Se1 0.500 0.500 0.000 1
N1 0.000 0.500 0.500 1
```

***

Computed, not measured: a relaxed structure of Rb5InI6 at the GGA-PBE level of DFT.

Output
* D(E_F): 0.000 states/eV/atom
* energy relative to the elements, uncorrected: -1321 meV per atom
* DFT total energy: -0.10023 hartree per atom

```
data_Rb5InI6
_chemical_formula_sum 'Rb10 In2 I12'
_cell_length_a 9.075
_cell_length_b 15.720
_cell_length_c 9.073
_cell_angle_alpha 90.00
_cell_angle_beta 109.50
_cell_angle_gamma 90.00
_symmetry_space_group_name_H-M 'C 1 2/m 1'
_symmetry_Int_Tables_number 12
_symmetry_space_group_name_Hall '-C 2y'
loop_
_atom_site_label
_atom_site_fract_x
_atom_site_fract_y
_atom_site_fract_z
_atom_site_occupancy
Rb1 0.000 0.000 0.000 1
Rb2 0.000 0.166 0.500 1
Rb3 0.000 0.332 0.000 1
In1 0.000 0.500 0.500 1
I1 0.242 0.500 0.256 1
I2 0.244 0.338 0.745 1
```